(1)
First-principles (GGA-PBE) data for an optimized crystal structure of Li2HfSe3, as listed in Alexandria via LeMat-Bulk.

Cell: 6.689 6.689 6.774 Å, 99.52 99.52 119.98°
Fractional coordinates of all 12 atoms:
Li: 0.000 0.000 0.000
Li: 0.168 0.832 0.500
Li: 0.500 0.500 0.500
Li: 0.832 0.168 0.500
Hf: 0.333 0.667 0.000
Hf: 0.667 0.333 0.000
Se: 0.081 0.425 0.241
Se: 0.265 0.265 0.756
Se: 0.425 0.081 0.241
Se: 0.575 0.919 0.759
Se: 0.735 0.735 0.244
Se: 0.919 0.575 0.759

Results
E above lowest polymorph, meV/atom: 0
SG: No. 12

***

(2)
First-principles (GGA-PBE) data for an optimized crystal structure of Li4HfSe4, as listed in Alexandria via LeMat-Bulk.

Cell: 7.312 7.312 7.312 Å, 129.29 129.29 74.55°
Fractional coordinates of all 9 atoms:
Li: 0.000 0.500 0.500
Li: 0.223 0.223 0.000
Li: 0.500 0.000 0.500
Li: 0.777 0.777 0.000
Hf: 0.500 0.500 0.000
Se: 0.146 0.606 0.000
Se: 0.394 0.394 0.540
Se: 0.606 0.146 0.000
Se: 0.854 0.854 0.460

Results
SG: No. 121

***

Let's list E in order: -5.3684, -4.7350 eV per atom.
Let's list size of the total moment in order: 0.00, 0.00 μB/f.u..
Let's list ΔE_f (raw) in order: -1.33, -1.23 eV per atom.